1.
# Ag2RhBr PBE-GGA relaxed
# ΔE to the lowest computed polymorph = 0.86 eV/f.u.
data_Ag2RhBr
_space_group_name_H-M_alt 'I 4/m m m'
_space_group_IT_number 139
_space_group_name_Hall '-I 4 2'
_cell_length_a 3.976
_cell_length_b 3.976
_cell_length_c 9.329
_cell_angle_alpha 90.00
_cell_angle_beta 90.00
_cell_angle_gamma 90.00
loop_
_atom_site_label
_atom_site_type_symbol
_atom_site_fract_x
_atom_site_fract_y
_atom_site_fract_z
Ag1 Ag 0.000 0.500 0.250
Rh1 Rh 0.000 0.000 0.000
Br1 Br 0.000 0.000 0.500

2.
# Ag2RhBr PBE-GGA relaxed
# ΔE to the lowest computed polymorph = 0.47 eV/f.u.
data_Ag2RhBr
_space_group_name_H-M_alt 'P 4/m m m'
_space_group_IT_number 123
_space_group_name_Hall '-P 4 2'
_cell_length_a 3.414
_cell_length_b 3.414
_cell_length_c 6.635
_cell_angle_alpha 90.00
_cell_angle_beta 90.00
_cell_angle_gamma 90.00
loop_
_atom_site_label
_atom_site_type_symbol
_atom_site_fract_x
_atom_site_fract_y
_atom_site_fract_z
Ag1 Ag 0.000 0.000 0.220
Rh1 Rh 0.500 0.500 0.000
Br1 Br 0.500 0.500 0.500

3.
Below is a relaxed structure of Ag6RhBr12, with properties calculated at the PBE-GGA level.

Structure (CIF):
```
data_Ag6RhBr12
_space_group_name_H-M_alt 'R -3'
_space_group_IT_number 148
_space_group_name_Hall '-R 3'
_cell_length_a 11.3538
_cell_length_b 11.3538
_cell_length_c 16.0817
_cell_angle_alpha 90.00
_cell_angle_beta 90.00
_cell_angle_gamma 120.00
loop_
_atom_site_label
_atom_site_type_symbol
_atom_site_fract_x
_atom_site_fract_y
_atom_site_fract_z
Ag1 Ag 0.0412 0.2687 0.1627
Rh1 Rh 0.0000 0.0000 0.5000
Br1 Br 0.0252 0.2024 0.8876
Br2 Br 0.0733 0.2047 0.4098
```

| no. | D(E_F) (states/eV/cell) | E_tot (eV/atom) | ΔE_f (raw) (eV/atom) |
| --- | --- | --- | --- |
| 1 | 3.15 | -3.23 | 0.4535 |
| 2 | 3.94 | -3.33 | 0.3554 |
| 3 | 24.53 | -2.64 | -0.2926 |